[1]
This record from Alexandria describes Te5As after structural relaxation. The functional is GGA-PBEsol.

Cell lengths 4.085, 14.142, 6.086 Å; angles 90.00, 90.00, 90.00 degrees
Space group Cmmm (No. 65)
Asymmetric unit:
Te 0.000 0.000 0.000 (multiplicity 2)
Te 0.000 0.333 0.000 (multiplicity 4)
Te 0.000 0.352 0.500 (multiplicity 4)
As 0.000 0.000 0.500 (multiplicity 2)

Output
As for the raw formation energy: 41 meV per atom.

[2]
This record from Alexandria describes KTaCl2 after structural relaxation. The functional is GGA-PBEsol.

Cell lengths 11.614, 3.106, 6.097 Å; angles 90.00, 109.97, 90.00 degrees
Space group Cm (No. 8)
Asymmetric unit:
K 0.000 0.000 0.000 (multiplicity 2)
Ta 0.251 0.500 0.466 (multiplicity 2)
Cl 0.135 0.000 0.620 (multiplicity 2)
Cl 0.333 0.000 0.246 (multiplicity 2)

Output
As for the raw formation energy: -358 meV per atom.

[3]
This record from Alexandria describes LiCd2Pd2 after structural relaxation. The functional is GGA-PBEsol.

Cell lengths 7.813, 7.813, 2.949 Å; angles 90.00, 90.00, 90.00 degrees
Space group P4/mbm (No. 127)
Asymmetric unit:
Li 0.000 0.000 0.000 (multiplicity 2)
Cd 0.161 0.339 0.000 (multiplicity 4)
Pd 0.135 0.635 0.500 (multiplicity 4)

Output
The formation enthalpy at 0 K is -0.32 eV per atom.

[4]
This record from Alexandria describes NbCd2Br after structural relaxation. The functional is GGA-PBEsol.

Cell lengths 7.087, 7.087, 7.087 Å; angles 90.00, 90.00, 90.00 degrees
Space group Fm-3m (No. 225)
Asymmetric unit:
Nb 0.000 0.000 0.000 (multiplicity 4)
Cd 0.250 0.250 0.250 (multiplicity 8)
Br 0.000 0.000 0.500 (multiplicity 4)

Output
As for the raw formation energy: 828 meV per atom.

[5]
This record from Alexandria describes TaNi2Te2 after structural relaxation. The functional is GGA-PBEsol.

Cell lengths 6.365, 3.536, 17.135 Å; angles 90.00, 90.00, 90.00 degrees
Space group Pnma (No. 62)
Asymmetric unit:
Ta 0.095 0.250 0.224 (multiplicity 4)
Ni 0.102 0.250 0.685 (multiplicity 4)
Ni 0.210 0.250 0.817 (multiplicity 4)
Te 0.091 0.250 0.394 (multiplicity 4)
Te 0.096 0.750 0.091 (multiplicity 4)

Output
As for the raw formation energy: -393 meV per atom.

[6]
This record from Alexandria describes KLaP after structural relaxation. The functional is GGA-PBEsol.

Cell lengths 7.090, 7.090, 7.090 Å; angles 90.00, 90.00, 90.00 degrees
Space group F-43m (No. 216)
Asymmetric unit:
K 0.000 0.000 0.000 (multiplicity 4)
La 0.000 0.000 0.500 (multiplicity 4)
P 0.250 0.250 0.750 (multiplicity 4)

Output
The formation enthalpy at 0 K is -0.51 eV per atom.

[7]
This record from Alexandria describes Sb2PtSe after structural relaxation. The functional is GGA-PBEsol.

Cell lengths 6.943, 6.943, 6.943 Å; angles 90.00, 90.00, 90.00 degrees
Space group F-43m (No. 216)
Asymmetric unit:
Sb 0.000 0.000 0.000 (multiplicity 4)
Sb 0.250 0.250 0.250 (multiplicity 4)
Pt 0.250 0.250 0.750 (multiplicity 4)
Se 0.000 0.000 0.500 (multiplicity 4)

Output
As for the raw formation energy: 277 meV per atom.

[8]
This record from Alexandria describes Bi10Te2I4O17 after structural relaxation. The functional is GGA-PBEsol.

Cell lengths 7.897, 7.899, 19.194 Å; angles 90.00, 90.00, 90.00 degrees
Space group Amm2 (No. 38)
Asymmetric unit:
Bi 0.000 0.000 0.000 (multiplicity 2)
Bi 0.000 0.000 0.227 (multiplicity 2)
Bi 0.000 0.000 0.721 (multiplicity 2)
Bi 0.255 0.245 0.855 (multiplicity 8)
Bi 0.500 0.000 0.221 (multiplicity 2)
Bi 0.500 0.000 0.500 (multiplicity 2)
Bi 0.500 0.000 0.732 (multiplicity 2)
Te 0.000 0.000 0.482 (multiplicity 2)
Te 0.500 0.000 0.963 (multiplicity 2)
I 0.252 0.250 0.111 (multiplicity 8)
O 0.000 0.235 0.441 (multiplicity 4)
O 0.000 0.249 0.783 (multiplicity 4)
O 0.235 0.000 0.440 (multiplicity 4)
O 0.237 0.000 0.940 (multiplicity 4)
O 0.239 0.000 0.780 (multiplicity 4)
O 0.251 0.000 0.283 (multiplicity 4)
O 0.500 0.000 0.864 (multiplicity 2)
O 0.500 0.237 0.440 (multiplicity 4)
O 0.500 0.239 0.280 (multiplicity 4)

Output
As for the raw formation energy: -1140 meV per atom.

[9]
This record from Alexandria describes KAu2Cl after structural relaxation. The functional is GGA-PBEsol.

Cell lengths 3.965, 3.471, 7.259 Å; angles 90.00, 105.57, 90.00 degrees
Space group Pm (No. 6)
Asymmetric unit:
K 0.000 0.000 0.000 (multiplicity 1)
Au 0.234 0.000 0.467 (multiplicity 1)
Au 0.698 0.500 0.392 (multiplicity 1)
Cl 0.406 0.500 0.809 (multiplicity 1)

Output
As for the raw formation energy: -500 meV per atom.

[10]
This record from Alexandria describes Li2IrRu after structural relaxation. The functional is GGA-PBEsol.

Cell lengths 2.747, 2.747, 7.267 Å; angles 90.00, 90.00, 90.00 degrees
Space group P4mm (No. 99)
Asymmetric unit:
Li 0.000 0.000 0.000 (multiplicity 1)
Li 0.500 0.500 0.273 (multiplicity 1)
Ir 0.500 0.500 0.756 (multiplicity 1)
Ru 0.000 0.000 0.526 (multiplicity 1)

Output
The formation enthalpy at 0 K is 0.04 eV per atom.

[11]
This record from Alexandria describes TlCrF3 after structural relaxation. The functional is GGA-PBEsol.

Cell lengths 4.161, 4.161, 4.161 Å; angles 90.00, 90.00, 90.00 degrees
Space group Pm-3m (No. 221)
Asymmetric unit:
Tl 0.000 0.000 0.000 (multiplicity 1)
Cr 0.500 0.500 0.500 (multiplicity 1)
F 0.000 0.500 0.500 (multiplicity 3)

Output
As for the raw formation energy: -2007 meV per atom.

[12]
This record from Alexandria describes HfSi3Cl after structural relaxation. The functional is GGA-PBEsol.

Cell lengths 4.504, 4.504, 4.504 Å; angles 90.00, 90.00, 90.00 degrees
Space group Pm-3m (No. 221)
Asymmetric unit:
Hf 0.000 0.000 0.000 (multiplicity 1)
Si 0.000 0.500 0.500 (multiplicity 3)
Cl 0.500 0.500 0.500 (multiplicity 1)

Output
As for the raw formation energy: 801 meV per atom.

[13]
This record from Alexandria describes LiIn3 after structural relaxation. The functional is GGA-PBEsol.

Cell lengths 10.114, 3.352, 5.449 Å; angles 90.00, 98.92, 90.00 degrees
Space group C2/m (No. 12)
Asymmetric unit:
Li 0.000 0.000 0.000 (multiplicity 2)
In 0.000 0.500 0.500 (multiplicity 2)
In 0.247 0.500 0.239 (multiplicity 4)

Output
The formation enthalpy at 0 K is -0.15 eV per atom.

[14]
This record from Alexandria describes CrOs2Pt after structural relaxation. The functional is GGA-PBEsol.

Cell lengths 2.709, 4.373, 9.485 Å; angles 90.00, 90.00, 90.00 degrees
Space group Immm (No. 71)
Asymmetric unit:
Cr 0.000 0.000 0.000 (multiplicity 2)
Os 0.000 0.500 0.285 (multiplicity 4)
Pt 0.000 0.000 0.500 (multiplicity 2)

Output
The formation enthalpy at 0 K is 0.28 eV per atom.

[15]
This record from Alexandria describes Mn3BeC after structural relaxation. The functional is GGA-PBEsol.

Cell lengths 3.709, 3.709, 3.709 Å; angles 90.00, 90.00, 90.00 degrees
Space group Pm-3m (No. 221)
Asymmetric unit:
Mn 0.000 0.000 0.500 (multiplicity 3)
Be 0.500 0.500 0.500 (multiplicity 1)
C 0.000 0.000 0.000 (multiplicity 1)

Output
The formation enthalpy at 0 K is 0.08 eV per atom.

[16]
This record from Alexandria describes CdAsS2 after structural relaxation. The functional is GGA-PBEsol.

Cell lengths 3.7486, 3.7486, 22.7371 Å; angles 90.00, 90.00, 120.00 degrees
Space group R-3m (No. 166, hexagonal axes)
Asymmetric unit:
Cd 0.0000 0.0000 0.0000 (multiplicity 3)
As 0.0000 0.0000 0.5000 (multiplicity 3)
S 0.0000 0.0000 0.3982 (multiplicity 6)

Output
As for the raw formation energy: 82 meV per atom.

[17]
This record from Alexandria describes La2MnSb after structural relaxation. The functional is GGA-PBEsol.

Cell lengths 4.842, 4.842, 9.027 Å; angles 90.00, 90.00, 90.00 degrees
Space group I4/mmm (No. 139)
Asymmetric unit:
La 0.000 0.500 0.250 (multiplicity 4)
Mn 0.000 0.000 0.000 (multiplicity 2)
Sb 0.000 0.000 0.500 (multiplicity 2)

Output
As for the raw formation energy: -211 meV per atom.

[18]
This record from Alexandria describes Mn2SeN2 after structural relaxation. The functional is GGA-PBEsol.

Cell lengths 3.1362, 3.1362, 6.2736 Å; angles 90.00, 90.00, 120.00 degrees
Space group P-3m1 (No. 164)
Asymmetric unit:
Mn 0.3333 0.6667 0.3180 (multiplicity 2)
Se 0.0000 0.0000 0.0000 (multiplicity 1)
N 0.3333 0.6667 0.6314 (multiplicity 2)

Output
As for the raw formation energy: -93 meV per atom.

[19]
This record from Alexandria describes CaCoP2O7 after structural relaxation. The functional is GGA-PBEsol.

Cell lengths 6.271, 6.494, 6.806 Å; angles 96.00, 90.48, 112.45 degrees
Space group P-1 (No. 2)
Asymmetric unit:
Ca 0.209 0.241 0.384 (multiplicity 2)
Co 0.249 0.628 0.812 (multiplicity 2)
P 0.255 0.727 0.369 (multiplicity 2)
P 0.333 0.153 0.876 (multiplicity 2)
O 0.090 0.515 0.241 (multiplicity 2)
O 0.146 0.885 0.454 (multiplicity 2)
O 0.163 0.910 0.866 (multiplicity 2)
O 0.259 0.306 0.762 (multiplicity 2)
O 0.374 0.648 0.528 (multiplicity 2)
O 0.424 0.258 0.090 (multiplicity 2)
O 0.444 0.869 0.230 (multiplicity 2)

Output
As for the raw formation energy: -2201 meV per atom.

[20]
This record from Alexandria describes BaIn2FeIr after structural relaxation. The functional is GGA-PBEsol.

Cell lengths 5.793, 5.793, 4.740 Å; angles 90.00, 90.00, 90.00 degrees
Space group P4/mmm (No. 123)
Asymmetric unit:
Ba 0.000 0.000 0.000 (multiplicity 1)
In 0.000 0.500 0.000 (multiplicity 2)
Fe 0.000 0.000 0.500 (multiplicity 1)
Ir 0.500 0.500 0.500 (multiplicity 1)

Output
The formation enthalpy at 0 K is 2.39 eV per atom.

[21]
This record from Alexandria describes B2PbBr after structural relaxation. The functional is GGA-PBEsol.

Cell lengths 6.502, 6.502, 6.502 Å; angles 90.00, 90.00, 90.00 degrees
Space group Fm-3m (No. 225)
Asymmetric unit:
B 0.250 0.250 0.250 (multiplicity 8)
Pb 0.000 0.000 0.000 (multiplicity 4)
Br 0.000 0.000 0.500 (multiplicity 4)

Output
As for the raw formation energy: 1803 meV per atom.

[22]
This record from Alexandria describes Er2BiO2 after structural relaxation. The functional is GGA-PBEsol.

Cell lengths 3.797, 3.797, 13.213 Å; angles 90.00, 90.00, 90.00 degrees
Space group I4/mmm (No. 139)
Asymmetric unit:
Er 0.000 0.000 0.168 (multiplicity 4)
Bi 0.000 0.000 0.500 (multiplicity 2)
O 0.000 0.500 0.250 (multiplicity 4)

Output
As for the raw formation energy: -2778 meV per atom.

[23]
This record from Alexandria describes La2InNi after structural relaxation. The functional is GGA-PBEsol.

Cell lengths 3.532, 3.532, 7.996 Å; angles 90.00, 90.00, 90.00 degrees
Space group P4/mmm (No. 123)
Asymmetric unit:
La 0.000 0.000 0.207 (multiplicity 2)
In 0.500 0.500 0.500 (multiplicity 1)
Ni 0.500 0.500 0.000 (multiplicity 1)

Output
The formation enthalpy at 0 K is -0.35 eV per atom.

[24]
This record from Alexandria describes Mg16Al13 after structural relaxation. The functional is GGA-PBEsol.

Cell lengths 10.429, 14.687, 8.997 Å; angles 90.00, 124.61, 90.00 degrees
Space group Cm (No. 8)
Asymmetric unit:
Mg 0.000 0.000 0.000 (multiplicity 2)
Mg 0.003 0.000 0.350 (multiplicity 2)
Mg 0.058 0.343 0.400 (multiplicity 4)
Mg 0.149 0.500 0.661 (multiplicity 2)
Mg 0.159 0.159 0.601 (multiplicity 4)
Mg 0.175 0.174 0.998 (multiplicity 4)
Mg 0.187 0.500 0.290 (multiplicity 2)
Mg 0.301 0.299 0.319 (multiplicity 4)
Mg 0.460 0.138 0.998 (multiplicity 4)
Mg 0.487 0.195 0.687 (multiplicity 4)
Al 0.005 0.185 0.188 (multiplicity 4)
Al 0.188 0.000 0.815 (multiplicity 2)
Al 0.228 0.409 0.006 (multiplicity 4)
Al 0.275 0.093 0.368 (multiplicity 4)
Al 0.319 0.315 0.817 (multiplicity 4)
Al 0.367 0.000 0.179 (multiplicity 2)
Al 0.383 0.000 0.699 (multiplicity 2)
Al 0.409 0.407 0.635 (multiplicity 4)

Output
The formation enthalpy at 0 K is -0.01 eV per atom.

So what do the calculations give for density of states at the Fermi level? Going down the list: 7.84, 4.64, 3.26, 11.80, 10.29, 6.60, 14.12, 0.00, 0.68, 2.40, 1.19, 2.62, 2.99, 7.46, 5.05, 6.88, 10.98, 4.34, 2.36, 6.83, 9.14, 1.33, 3.07, 20.36 states/eV/cell.
So what do the calculations give for final energy? Going down the list: -3.748, -4.783, -3.572, -2.943, -6.776, -4.596, -4.705, -5.571, -3.248, -5.939, -5.738, -5.149, -2.875, -10.134, -8.509, -3.686, -6.463, -8.178, -7.492, -2.992, -3.172, -7.706, -5.311, -2.793 eV per atom.